A geometry-optimized BaRuNF2 structure. Source: Alexandria, functional PBE.

abc: 4.8912 4.8912 4.9289
angles: 90.00 90.00 90.00
With the nearest neighbours (Å) after each atom.
Space group P4/mmm (No. 123)
Unique sites:
Ba1 0.0000 0.0000 0.0000 [1 per cell]  4 F 2.45, 2 N 2.46
Ru1 0.5000 0.5000 0.5000 [1 per cell]  4 N 3.46, 8 F 3.47
N1 0.0000 0.0000 0.5000 [1 per cell]  2 Ba 2.46
F1 0.0000 0.5000 0.0000 [2 per cell]  2 Ba 2.45

Results
As for the energy above the most stable polymorph in this dataset: 1557 meV/atom. The value obtained for the energy relative to the elements, uncorrected is 80 meV/atom.